No. 1
A geometry-optimized Na2CdMoO4 structure, computed with PBE with a Hubbard U.

abc: 5.782 3.273 5.822
angles: 90.00 110.20 90.00
Space group P2/m (No. 10)
Unique sites:
Na 0.000 0.000 0.000
Na 0.500 0.500 0.000
Cd 0.000 0.500 0.500
Mo 0.500 0.000 0.500
O 0.277 0.000 0.710
O 0.292 0.500 0.289

Properties
Crystal system   monoclinic



No. 2
A geometry-optimized NaCdMo2O8 structure, computed with PBE with a Hubbard U.

abc: 7.333 7.333 6.895
angles: 90.00 90.00 90.00
Space group I-4m2 (No. 119)
Unique sites:
Na 0.000 0.000 0.000
Cd 0.000 0.500 0.750
Mo 0.000 0.000 0.500
Mo 0.000 0.500 0.250
O 0.000 0.200 0.652
O 0.000 0.304 0.094

Properties
DOS(E_F)   21.51 states/eV/cell
Crystal system   tetragonal



No. 3
A geometry-optimized Na4Cd3MoO8 structure, computed with PBE with a Hubbard U.

abc: 6.7395 6.7395 16.1926
angles: 90.00 90.00 120.00
Space group R-3m (No. 166, hexagonal axes)
Unique sites:
Na 0.0000 0.0000 0.0000
Na 0.0000 0.5000 0.0000
Cd 0.0000 0.5000 0.5000
Mo 0.0000 0.0000 0.5000
O 0.0000 0.0000 0.2345
O 0.0569 0.5284 0.2381

Properties
DOS(E_F)   0.00 states/eV/cell
Crystal system   trigonal



No. 4
A geometry-optimized Na3Cd2MoO6 structure, computed with PBE with a Hubbard U.

abc: 5.716 10.029 5.801
angles: 90.00 109.46 90.00
Space group C2/m (No. 12)
Unique sites:
Na 0.000 0.000 0.000
Na 0.000 0.328 0.000
Cd 0.000 0.171 0.500
Mo 0.000 0.500 0.500
O 0.211 0.500 0.294
O 0.222 0.352 0.720

Properties
Crystal system   monoclinic



no.,total energy (eV/f.u.)
1,-42.66
2,-72.52
3,-77.24
4,-60.29